## NpTiNbIn (GGA-PBE)

Data for crystalline NpTiNbIn at its relaxed geometry.

Structure (POSCAR):
```
NpTiNbIn
1.0
6.8613 0.0000 0.0000
0.0000 6.8613 0.0000
0.0000 0.0000 6.8613
Np Ti Nb In
4 4 4 4
direct
0.0000 0.0000 0.0000 Np
0.0000 0.5000 0.5000 Np
0.5000 0.0000 0.5000 Np
0.5000 0.5000 0.0000 Np
0.2500 0.2500 0.2500 Ti
0.2500 0.7500 0.7500 Ti
0.7500 0.2500 0.7500 Ti
0.7500 0.7500 0.2500 Ti
0.2500 0.2500 0.7500 Nb
0.2500 0.7500 0.2500 Nb
0.7500 0.2500 0.2500 Nb
0.7500 0.7500 0.7500 Nb
0.0000 0.0000 0.5000 In
0.0000 0.5000 0.0000 In
0.5000 0.0000 0.0000 In
0.5000 0.5000 0.5000 In
```

Calculated values
The density of states at the Fermi level comes out at 39.42 states/eV per cell. The formation energy comes out at 0.25 eV/atom. As for the space group: F-43m. The value obtained for the total energy is -130.59 eV per cell.